DFT (PBE-GGA) results for a relaxed structure of As2IrAu.

ΔE_f: 29 kJ per mole of atoms
Relative energy among the computed polymorphs: 33.72 kJ/mol of atoms
Crystal system: tetragonal

abc: 4.592 4.592 4.592
angles: 68.84 68.84 106.24
Fractional positions:
Ir  0.000  0.500  0.500
As  0.500  0.500  0.000
As  0.000  0.000  0.000
Au  0.500  0.000  0.500



DFT (PBE-GGA) results for a relaxed structure of MoIrPt2.

ΔE_f: -24 kJ per mole of atoms
Relative energy among the computed polymorphs: 0.00 kJ/mol of atoms
Crystal system: orthorhombic

abc: 2.770 3.948 5.586
angles: 90.00 90.00 90.00
Fractional positions:
Ir  0.000  0.000  0.511
Pt  0.500  0.500  0.253
Pt  0.000  0.000  0.996
Mo  0.500  0.500  0.741



DFT (PBE-GGA) results for a relaxed structure of CdPbW.

ΔE_f: 95 kJ per mole of atoms
Relative energy among the computed polymorphs: 21.94 kJ/mol of atoms
Crystal system: hexagonal

abc: 5.021 5.021 2.930
angles: 90.00 90.00 120.00
Fractional positions:
Pb  0.333  0.667  0.500
W  0.667  0.333  0.500
Cd  0.000  0.000  0.000



DFT (PBE-GGA) results for a relaxed structure of Ce6TmTh2.

ΔE_f: 17 kJ per mole of atoms
Crystal system: trigonal

abc: 3.392 9.533 9.533
angles: 120.00 90.00 90.00
Fractional positions:
Ce  0.777  0.347  0.325
Ce  0.777  0.675  0.022
Ce  0.223  0.325  0.978
Ce  0.223  0.022  0.347
Ce  0.223  0.653  0.675
Ce  0.777  0.978  0.653
Tm  0.500  0.000  0.000
Th  0.270  0.667  0.333
Th  0.730  0.333  0.667



DFT (PBE-GGA) results for a relaxed structure of PrNd2Ge2Pt7.

ΔE_f: -88 kJ per mole of atoms
Crystal system: monoclinic

abc: 4.159 4.159 14.190
angles: 83.99 83.99 89.15
Fractional positions:
Ge  0.407  0.407  0.256
Ge  0.593  0.593  0.744
Pt  0.378  0.378  0.429
Pt  0.443  0.941  0.159
Pt  0.557  0.059  0.841
Pt  0.500  0.500  0.000
Pt  0.622  0.622  0.571
Pt  0.941  0.443  0.159
Pt  0.059  0.557  0.841
Nd  0.113  0.113  0.642
Nd  0.887  0.887  0.358
Pr  0.000  0.000  0.000



DFT (PBE-GGA) results for a relaxed structure of Rb3NaBe2H8.

VASP energy: -3.026 eV per atom
Crystal system: trigonal

abc: 5.693 5.693 7.616
angles: 90.00 90.00 120.00
Fractional positions:
Rb  0.667  0.333  0.303
Rb  0.000  0.000  0.000
Rb  0.333  0.667  0.697
H  0.333  0.667  0.068
H  0.387  0.193  0.675
H  0.613  0.807  0.325
H  0.807  0.193  0.675
H  0.193  0.807  0.325
H  0.807  0.613  0.675
H  0.667  0.333  0.932
H  0.193  0.387  0.325
Na  0.000  0.000  0.500
Be  0.667  0.333  0.743
Be  0.333  0.667  0.257



DFT (PBE-GGA) results for a relaxed structure of Tb4Er3Cd2.

ΔE_f: -7 kJ per mole of atoms
Crystal system: monoclinic

abc: 4.870 7.714 7.716
angles: 107.72 108.40 90.00
Fractional positions:
Er  0.114  0.674  0.227
Er  0.886  0.326  0.773
Er  0.000  0.000  0.000
Tb  0.445  0.667  0.889
Tb  0.779  0.680  0.557
Tb  0.555  0.333  0.111
Tb  0.221  0.320  0.443
Cd  0.335  0.003  0.669
Cd  0.665  0.997  0.331



DFT (PBE-GGA) results for a relaxed structure of CaPr6Dy2Ho.

ΔE_f: 13 kJ per mole of atoms
Crystal system: monoclinic

abc: 9.947 9.071 9.071
angles: 118.47 94.49 94.49
Fractional positions:
Pr  0.053  0.114  0.765
Pr  0.678  0.026  0.569
Pr  0.822  0.431  0.974
Pr  0.178  0.569  0.026
Pr  0.123  0.711  0.500
Pr  0.553  0.765  0.114
Pr  0.623  0.500  0.711
Pr  0.447  0.235  0.886
Pr  0.877  0.289  0.500
Pr  0.947  0.886  0.235
Pr  0.377  0.500  0.289
Pr  0.322  0.974  0.431
Dy  0.544  0.197  0.295
Dy  0.956  0.705  0.803
Dy  0.044  0.295  0.197
Dy  0.456  0.803  0.705
Ca  0.750  0.598  0.402
Ca  0.250  0.402  0.598
Ho  0.750  0.027  0.973
Ho  0.250  0.973  0.027



DFT (PBE-GGA) results for a relaxed structure of Mg5Be4.

ΔE_f: 34 kJ per mole of atoms
Relative energy among the computed polymorphs: 0.00 kJ/mol of atoms
Crystal system: tetragonal

abc: 6.262 6.262 6.262
angles: 95.82 95.82 142.86
Fractional positions:
Be  0.000  0.371  0.371
Be  0.371  0.000  0.371
Be  0.000  0.629  0.629
Be  0.629  0.000  0.629
Mg  0.674  0.326  0.000
Mg  0.674  0.674  0.349
Mg  0.326  0.326  0.651
Mg  0.326  0.674  0.000
Mg  0.000  0.000  0.000



DFT (PBE-GGA) results for a relaxed structure of Cr3SiCl.

Formation energy (no corrections): 735 meV per atom
Relative energy among the computed polymorphs: 0.00 kJ/mol of atoms
Crystal system: cubic

abc: 4.821 4.821 4.821
angles: 90.00 90.00 90.00
Last column: magnetic moment on the atom in μB.
Fractional positions:
Cr  0.500  0.000  0.000  3.55
Cr  0.000  0.500  0.000  3.84
Cr  0.000  0.000  0.500  4.05
Cl  0.500  0.500  0.500  0.14
Si  0.000  0.000  0.000  -0.20



DFT (PBE-GGA) results for a relaxed structure of Eu2SnH.

Relative energy among the computed polymorphs: 6.40 kJ/mol of atoms
Crystal system: tetragonal

abc: 3.484 3.484 7.870
angles: 90.00 90.00 90.00
Last column: magnetic moment on the atom in μB.
Fractional positions:
Sn  0.500  0.500  0.500  -0.07
Eu  0.000  0.000  0.785  6.99
Eu  0.000  0.000  0.215  6.99
H  0.500  0.500  0.000  -0.03



DFT (PBE-GGA) results for a relaxed structure of BaTe2IrSe8.

Formation energy (no corrections): -282 meV per atom
Crystal system: trigonal

abc: 6.321 6.321 9.313
angles: 90.00 90.00 120.00
Fractional positions:
Se  0.244  0.353  0.335
Se  0.647  0.891  0.335
Se  0.109  0.756  0.335
Se  0.891  0.244  0.665
Se  0.667  0.333  0.011
Se  0.353  0.109  0.665
Se  0.756  0.647  0.665
Se  0.333  0.667  0.989
Ir  0.000  0.000  0.500
Te  0.667  0.333  0.277
Te  0.333  0.667  0.723
Ba  0.000  0.000  0.000



Number 1: size of the total moment 0.00 μB/atom. Number 2: size of the total moment 0.00 μB/atom. Number 3: size of the total moment 0.00 μB/atom. Number 4: size of the total moment 0.00 μB/atom. Number 5: size of the total moment 0.00 μB/atom. Number 6: size of the total moment 0.00 μB/atom. Number 7: size of the total moment 0.00 μB/atom. Number 8: size of the total moment 0.00 μB/atom. Number 9: size of the total moment 0.00 μB/atom. Number 10: size of the total moment 2.60 μB/atom. Number 11: size of the total moment 3.64 μB/atom. Number 12: size of the total moment 0.00 μB/atom.